VASP calculation (PBEsol) on a relaxed MgMn2Zn crystal.

Summary:
- Formation energy from the elements: 0.2859 eV/atom
- Size of the total moment: 6.1 μB/cell

a = 3.886 Å, b = 3.886 Å, c = 3.741 Å
α = 90.00°, β = 90.00°, γ = 90.00°
Sites, in units of the cell vectors:
Mg1 0.000 0.000 0.000
Mn1 0.000 0.500 0.500
Mn2 0.500 0.000 0.500
Zn1 0.500 0.500 0.000